Compound: Ti6SbPd
Source: the Alexandria database
Functional: PBE
Structure: relaxed

Values from the calculation:
- symmetry = C2/m (12)
- energy (eV for the cell shown) = -56.3
- polymorph energy (0 for the lowest one) (eV/atom) = 0.340
- energy relative to the elements, uncorrected (eV per atom) = 0.044
- D(E_F) (states/eV/f.u.) = 10.40

Unit cell a=4.859 b=4.859 c=7.467 alpha=107.08 beta=107.08 gamma=69.87
Fractional coordinates of all 8 atoms:
Ti: 0.060 0.572 0.207
Ti: 0.150 0.150 0.451
Ti: 0.428 0.940 0.793
Ti: 0.572 0.060 0.207
Ti: 0.850 0.850 0.549
Ti: 0.940 0.428 0.793
Sb: 0.000 0.000 0.000
Pd: 0.500 0.500 0.500